[1]
## CuBrCl (GGA-PBE)

Data for CuBrCl after structural relaxation.

Properties
**Magnetization**: 0.73 μB per cell
**E above lowest polymorph**: 8 meV/atom

abc: 8.0186 6.9992 4.5860
angles: 84.89 60.39 34.73
Last column: nearest neighbours and their distance in Å.
Atoms (fractional coordinates):
Cl  0.2831  0.2831  0.7169  2 Cu 2.27
Br  0.0454  0.0454  0.9546  2 Cu 2.41
Cu  0.6715  0.6715  0.3285  2 Cl 2.27, 2 Br 2.41

=====

[2]
## CuBrCl3 (GGA-PBE)

Data for CuBrCl3 after structural relaxation.

Properties
**Magnetization**: 1.85 μB per cell
**E above lowest polymorph**: 337 meV/atom

abc: 4.7833 4.7833 4.7833
angles: 90.00 90.00 90.00
Last column: nearest neighbours and their distance in Å.
Atoms (fractional coordinates):
Br  0.5000  0.5000  0.5000  12 Cl 3.38
Cl  0.0000  0.0000  0.5000  2 Cu 2.39
Cl  0.5000  0.0000  0.0000  2 Cu 2.39
Cu  0.0000  0.0000  0.0000  6 Cl 2.39
Cl  0.0000  0.5000  0.0000  2 Cu 2.39

=====

no.,uncorrected energy (eV/atom)
1,-2.922
2,-2.195